# Y3Ru2 | Alexandria via LeMat-Bulk | PBE | relaxed
# V: 24.07 A^3/atom
# energy above the most stable polymorph in this dataset: 269.7 meV per atom
# DFT total energy: -0.5568 Ry/atom
# E_form: 0.012 eV/atom
data_Y3Ru2
_symmetry_space_group_name_H-M 'R -3 m'
_symmetry_Int_Tables_number 166
_symmetry_space_group_name_Hall '-R 3 2"'
_cell_length_a 3.5418
_cell_length_b 3.5418
_cell_length_c 33.2354
_cell_angle_alpha 90.00
_cell_angle_beta 90.00
_cell_angle_gamma 120.00
loop_
_atom_site_label
_atom_site_type_symbol
_atom_site_fract_x
_atom_site_fract_y
_atom_site_fract_z
Y1 Y 0.0000 0.0000 0.0000
Y2 Y 0.0000 0.0000 0.2159
Ru1 Ru 0.0000 0.0000 0.3950